Entry 1:
The following is a DFT calculation (PBE-GGA) of a geometry-optimized SrIrO5 structure.

Results
The uncorrected formation energy comes out at -1.1493 eV per atom. The spin magnetization is 0.0 μB per formula unit. The calculation puts the raw total energy at -86.76 eV/cell.

a b c (Å): 4.7010 6.4613 6.4998
angles (deg): 77.55 84.70 84.69
Atoms (fractional coordinates):
Sr 0.0964 0.1945 0.1948
Sr 0.9036 0.8055 0.8052
Ir 0.4972 0.6944 0.3057
Ir 0.5028 0.3056 0.6943
O 0.2330 0.8270 0.4699
O 0.2375 0.4692 0.8271
O 0.2734 0.7696 0.0788
O 0.2837 0.0746 0.7725
O 0.3092 0.4226 0.4254
O 0.6908 0.5774 0.5746
O 0.7163 0.9254 0.2275
O 0.7266 0.2304 0.9212
O 0.7625 0.5308 0.1729
O 0.7670 0.1730 0.5301

Entry 2:
The following is a DFT calculation (PBE-GGA) of a geometry-optimized TiCoGe structure.

Results
The spin magnetization is 0.0 μB per formula unit. The calculated formation energy comes out at -0.341 eV per atom. The calculation puts the raw total energy at -20.64 eV/cell.

a b c (Å): 5.1898 5.1898 5.1898
angles (deg): 147.27 147.27 46.96
Atoms (fractional coordinates):
Ti 0.0000 0.0000 0.0000
Co 0.3298 0.3298 0.0000
Ge 0.6903 0.6903 0.0000

Entry 3:
The following is a DFT calculation (PBE-GGA) of a geometry-optimized TmZrBeCu structure.

Results
The spin magnetization is 0.9 μB per formula unit. The calculated formation energy comes out at -0.019 eV per atom. The calculation puts the raw total energy at -20.92 eV/cell.

a b c (Å): 4.6846 4.6846 4.6846
angles (deg): 60.00 60.00 60.00
Atoms (fractional coordinates):
Tm 0.0000 0.0000 0.0000
Zr 0.5000 0.5000 0.5000
Be 0.2500 0.2500 0.2500
Cu 0.7500 0.7500 0.7500

Entry 4:
The following is a DFT calculation (PBE-GGA) of a geometry-optimized MgSc2TeC structure.

Results
The uncorrected formation energy comes out at -0.5051 eV per atom. The spin magnetization is 0.0 μB per formula unit. The calculation puts the raw total energy at -29.15 eV/cell.

a b c (Å): 4.6291 4.6291 4.3077
angles (deg): 90.00 90.00 90.00
Atoms (fractional coordinates):
Mg 0.0000 0.0000 0.0000
Sc 0.0000 0.5000 0.5000
Sc 0.5000 0.0000 0.5000
Te 0.5000 0.5000 0.0000
C 0.0000 0.0000 0.5000

Entry 5:
The following is a DFT calculation (PBE-GGA) of a geometry-optimized LiCdIr structure.

Results
The calculation puts the energy above the lowest structure with this stoichiometry at 0.14 eV per formula unit. The spin magnetization is 0.0 μB per formula unit. The calculated formation energy comes out at 0.031 eV per atom. The calculation puts the raw total energy at -11.60 eV/cell.

a b c (Å): 7.3743 7.1508 2.7661
angles (deg): 83.61 74.51 21.89
Atoms (fractional coordinates):
Li 0.0000 0.0000 0.0000
Cd 0.6790 0.6790 0.3210
Ir 0.3531 0.3531 0.6469

Entry 6:
The following is a DFT calculation (PBE-GGA) of a geometry-optimized ZnMoPt structure.

Results
The spin magnetization is 0.0 μB per formula unit. The calculated formation energy comes out at -0.211 eV per atom. The calculation puts the raw total energy at -18.78 eV/cell.

a b c (Å): 6.0861 6.0861 6.0861
angles (deg): 153.34 153.34 38.06
Atoms (fractional coordinates):
Zn 0.0000 0.0000 0.0000
Mo 0.3300 0.3300 0.0000
Pt 0.6646 0.6646 0.0000

Entry 7:
The following is a DFT calculation (PBE-GGA) of a geometry-optimized Y3TiCd structure.

Results
The calculation puts the energy above the lowest structure with this stoichiometry at 0.00 eV per formula unit. The spin magnetization is 0.0 μB per formula unit. The calculated formation energy comes out at 0.468 eV per atom. The calculation puts the raw total energy at -25.86 eV/cell.

a b c (Å): 5.3694 5.3694 5.3694
angles (deg): 90.00 90.00 90.00
Atoms (fractional coordinates):
Y 0.0000 0.0000 0.5000
Y 0.0000 0.5000 0.0000
Y 0.5000 0.0000 0.0000
Ti 0.0000 0.0000 0.0000
Cd 0.5000 0.5000 0.5000

Entry 8:
The following is a DFT calculation (PBE-GGA) of a geometry-optimized ScSi2Tc structure.

Results
The uncorrected formation energy comes out at -0.5231 eV per atom. The calculation puts the energy above the lowest structure with this stoichiometry at 0.74 eV per formula unit. The spin magnetization is 0.0 μB per formula unit. The calculation puts the raw total energy at -29.64 eV/cell.

a b c (Å): 4.3337 4.3337 5.1991
angles (deg): 101.18 101.18 42.96
Atoms (fractional coordinates):
Sc 0.0000 0.0000 0.0000
Si 0.2357 0.2357 0.6809
Si 0.7643 0.7643 0.3191
Tc 0.5000 0.5000 0.5000

Entry 9:
The following is a DFT calculation (PBE-GGA) of a geometry-optimized LiNdDy structure.

Results
The calculation puts the energy above the lowest structure with this stoichiometry at 0.01 eV per formula unit. The spin magnetization is 0.0 μB per formula unit. The calculated formation energy comes out at 0.083 eV per atom. The calculation puts the raw total energy at -11.03 eV/cell.

a b c (Å): 6.7395 6.7395 6.7395
angles (deg): 147.86 147.86 46.09
Atoms (fractional coordinates):
Li 0.0000 0.0000 0.0000
Nd 0.3418 0.3418 0.0000
Dy 0.6470 0.6470 0.0000

Entry 10:
The following is a DFT calculation (PBE-GGA) of a geometry-optimized AlAg2Te structure.

Results
The uncorrected formation energy comes out at 0.1282 eV per atom. The calculation puts the energy above the lowest structure with this stoichiometry at 0.34 eV per formula unit. The spin magnetization is 0.0 μB per formula unit. The calculation puts the raw total energy at -12.07 eV/cell.

a b c (Å): 8.0926 8.0926 8.0926
angles (deg): 25.59 25.59 25.59
Atoms (fractional coordinates):
Al 0.0000 0.0000 0.0000
Ag 0.4908 0.4908 0.4908
Ag 0.7390 0.7390 0.7390
Te 0.2503 0.2503 0.2503

Entry 11:
The following is a DFT calculation (PBE-GGA) of a geometry-optimized LiCdCl structure.

Results
The uncorrected formation energy comes out at -0.9545 eV per atom. The calculation puts the energy above the lowest structure with this stoichiometry at 0.01 eV per formula unit. The spin magnetization is 0.0 μB per formula unit. The calculation puts the raw total energy at -7.54 eV/cell.

a b c (Å): 3.7632 3.7632 6.3670
angles (deg): 90.00 90.00 120.00
Atoms (fractional coordinates):
Li 0.0000 0.0000 0.0000
Cd 0.3333 0.6667 0.4198
Cl 0.6667 0.3333 0.8826

Entry 12:
The following is a DFT calculation (PBE-GGA) of a geometry-optimized FePd12Pt3 structure.

Results
The spin magnetization is 6.4 μB per formula unit. The calculated formation energy comes out at -0.045 eV per atom. The calculation puts the raw total energy at -89.62 eV/cell.

a b c (Å): 3.9338 3.9338 15.7589
angles (deg): 90.00 90.00 90.00
Atoms (fractional coordinates):
Fe 0.0000 0.0000 0.0000
Pd 0.0000 0.5000 0.1197
Pd 0.0000 0.5000 0.3742
Pd 0.0000 0.5000 0.6258
Pd 0.0000 0.5000 0.8803
Pd 0.5000 0.0000 0.1197
Pd 0.5000 0.0000 0.3742
Pd 0.5000 0.0000 0.6258
Pd 0.5000 0.0000 0.8803
Pd 0.5000 0.5000 0.0000
Pd 0.5000 0.5000 0.2463
Pd 0.5000 0.5000 0.5000
Pd 0.5000 0.5000 0.7537
Pt 0.0000 0.0000 0.2490
Pt 0.0000 0.0000 0.5000
Pt 0.0000 0.0000 0.7510

Entry 13:
The following is a DFT calculation (PBE-GGA) of a geometry-optimized Sr2CuF structure.

Results
The uncorrected formation energy comes out at -1.2818 eV per atom. The calculation puts the energy above the lowest structure with this stoichiometry at 0.05 eV per formula unit. The spin magnetization is 0.0 μB per formula unit. The calculation puts the raw total energy at -28.92 eV/cell.

a b c (Å): 6.6931 6.6931 6.6931
angles (deg): 115.21 115.21 98.52
Atoms (fractional coordinates):
Sr 0.0668 0.1250 0.4418
Sr 0.3750 0.9332 0.0582
Sr 0.6832 0.6250 0.5582
Sr 0.8750 0.3168 0.9418
Cu 0.2500 0.7500 0.5000
Cu 0.5000 0.5000 0.0000
F 0.0000 0.0000 0.0000
F 0.7500 0.2500 0.5000

Entry 14:
The following is a DFT calculation (PBE-GGA) of a geometry-optimized PSe3I structure.

Results
The uncorrected formation energy comes out at 0.5217 eV per atom. The calculation puts the energy above the lowest structure with this stoichiometry at 2.18 eV per formula unit. The spin magnetization is 0.0 μB per formula unit. The calculation puts the raw total energy at -14.80 eV/cell.

a b c (Å): 4.9391 4.9391 4.9391
angles (deg): 90.00 90.00 90.00
Atoms (fractional coordinates):
P 0.0000 0.0000 0.0000
Se 0.0000 0.0000 0.5000
Se 0.0000 0.5000 0.0000
Se 0.5000 0.0000 0.0000
I 0.5000 0.5000 0.5000

Entry 15:
The following is a DFT calculation (PBE-GGA) of a geometry-optimized Fe4Pt structure.

Results
The calculation puts the energy above the lowest structure with this stoichiometry at 7.33 eV per formula unit. The spin magnetization is 13.1 μB per formula unit. The calculated formation energy comes out at 1.375 eV per atom. The calculation puts the raw total energy at -33.02 eV/cell.

a b c (Å): 4.6416 4.6416 4.6416
angles (deg): 90.00 90.00 90.00
Atoms (fractional coordinates):
Fe 0.0000 0.0000 0.0000
Fe 0.0000 0.5000 0.5000
Fe 0.5000 0.0000 0.5000
Fe 0.5000 0.5000 0.0000
Pt 0.5000 0.5000 0.5000

Entry 16:
The following is a DFT calculation (PBE-GGA) of a geometry-optimized Ac6NiPtAu2 structure.

Results
The spin magnetization is 0.0 μB per formula unit. The calculated formation energy comes out at -0.565 eV per atom. The calculation puts the raw total energy at -48.67 eV/cell.

a b c (Å): 8.2515 8.2515 8.2515
angles (deg): 56.75 56.75 56.75
Atoms (fractional coordinates):
Ac 0.0032 0.3668 0.6300
Ac 0.1231 0.8606 0.5103
Ac 0.3668 0.6300 0.0032
Ac 0.5103 0.1231 0.8606
Ac 0.6300 0.0032 0.3668
Ac 0.8606 0.5103 0.1231
Ni 0.7448 0.7448 0.7448
Pt 0.2450 0.2450 0.2450
Au 0.4342 0.4342 0.4342
Au 0.9351 0.9351 0.9351

Entry 17:
The following is a DFT calculation (PBE-GGA) of a geometry-optimized Y3Ni2 structure.

Results
The calculation puts the energy above the lowest structure with this stoichiometry at 0.16 eV per formula unit. The spin magnetization is 0.0 μB per formula unit. The calculated formation energy comes out at -0.325 eV per atom. The calculation puts the raw total energy at -32.58 eV/cell.

a b c (Å): 7.4858 7.4858 3.7213
angles (deg): 90.00 90.00 146.54
Atoms (fractional coordinates):
Y 0.0000 0.0000 0.0000
Y 0.3479 0.6521 0.5000
Y 0.6521 0.3479 0.5000
Ni 0.1984 0.8016 0.0000
Ni 0.8016 0.1984 0.0000

Entry 18:
The following is a DFT calculation (PBE-GGA) of a geometry-optimized FeCoSi2 structure.

Results
The uncorrected formation energy comes out at -0.3416 eV per atom. The spin magnetization is 2.1 μB per formula unit. The calculation puts the raw total energy at -27.78 eV/cell.

a b c (Å): 3.0639 3.0639 4.8997
angles (deg): 90.00 90.00 90.00
Atoms (fractional coordinates):
Fe 0.0000 0.0000 0.0000
Co 0.5000 0.5000 0.6777
Si 0.0000 0.0000 0.4879
Si 0.5000 0.5000 0.1876

Entry 19:
The following is a DFT calculation (PBE-GGA) of a geometry-optimized CuAs2Cl structure.

Results
The uncorrected formation energy comes out at 0.3851 eV per atom. The calculation puts the energy above the lowest structure with this stoichiometry at 2.23 eV per formula unit. The spin magnetization is 0.0 μB per formula unit. The calculation puts the raw total energy at -27.40 eV/cell.

a b c (Å): 7.3148 7.3148 7.3148
angles (deg): 134.25 134.25 66.70
Atoms (fractional coordinates):
Cu 0.0000 0.0000 0.0000
Cu 0.7500 0.2500 0.5000
As 0.0502 0.6250 0.9252
As 0.3750 0.3002 0.4252
As 0.6998 0.1250 0.0748
As 0.8750 0.9498 0.5748
Cl 0.2500 0.7500 0.5000
Cl 0.5000 0.5000 0.0000

Entry 20:
The following is a DFT calculation (PBE-GGA) of a geometry-optimized Mn2AuI structure.

Results
The uncorrected formation energy comes out at 0.2922 eV per atom. The calculation puts the energy above the lowest structure with this stoichiometry at 0.12 eV per formula unit. The spin magnetization is 8.6 μB per formula unit. The calculation puts the raw total energy at -22.00 eV/cell.

a b c (Å): 7.6333 7.6333 7.6333
angles (deg): 153.17 153.17 38.31
Atoms (fractional coordinates):
Mn 0.0000 0.0000 0.0000
Mn 0.1885 0.1885 0.0000
Au 0.5732 0.5732 0.0000
I 0.8084 0.8084 0.0000